# Li5Tb4Au6 PBE-GGA optimized geometry
data_Li5Tb4Au6
_space_group_name_H-M_alt 'P 1'
_space_group_IT_number 1
_cell_length_a 4.1018
_cell_length_b 10.8909
_cell_length_c 14.7537
_cell_angle_alpha 90.00
_cell_angle_beta 90.00
_cell_angle_gamma 100.85
loop_
_space_group_symop_operation_xyz
'x,y,z'
loop_
_atom_site_label
_atom_site_type_symbol
_atom_site_fract_x
_atom_site_fract_y
_atom_site_fract_z
Au1 Au 0.4472 0.8945 0.8620
Au2 Au 0.4203 0.8405 0.1372
Au3 Au 0.5797 0.1595 0.6372
Li1 Li 0.3110 0.6221 0.6143
Li2 Li 0.1744 0.3489 0.6278
Au4 Au 0.8956 0.7912 0.6056
Au5 Au 0.5528 0.1055 0.3620
Li3 Li 0.4495 0.8990 0.6689
Au6 Au 0.5781 0.1562 0.9242
Tb1 Tb 0.1779 0.3558 0.9408
Li4 Li 0.5505 0.1010 0.1689
Tb2 Tb 0.8551 0.7103 0.7966
Tb3 Tb 0.1449 0.2897 0.2966
Au7 Au 0.7464 0.4928 0.2740
Tb4 Tb 0.8221 0.6442 0.4408
Au8 Au 0.1044 0.2088 0.1056
Tb5 Tb 0.9582 0.9165 0.2791
Li5 Li 0.8256 0.6511 0.1278
Li6 Li 0.3257 0.6515 0.2653
Tb6 Tb 0.0200 0.0401 0.5124
Li7 Li 0.6743 0.3485 0.7653
Au9 Au 0.2536 0.5072 0.7740
Tb7 Tb 0.0418 0.0835 0.7791
Au10 Au 0.7746 0.5491 0.9620
Li8 Li 0.6513 0.3026 0.4854
Au11 Au 0.4219 0.8438 0.4242
Li9 Li 0.3487 0.6974 0.9854
Tb8 Tb 0.9800 0.9599 0.0124
Li10 Li 0.6890 0.3779 0.1143
Au12 Au 0.2254 0.4509 0.4620
# * space-group type: Cmc2_1
# * VASP energy: -3.779 eV per atom